The following is a PBE calculation of crystalline KHfZrBiO6 at its relaxed geometry, from the Alexandria database.

Cell: 5.880 5.880 5.880 Å, 60.00 60.00 60.00°
Fractional positions:
K: 0.750 0.750 0.750
Hf: 0.000 0.000 0.000
Zr: 0.500 0.500 0.500
Bi: 0.250 0.250 0.250
O: 0.248 0.752 0.248
O: 0.752 0.248 0.752
O: 0.248 0.752 0.752
O: 0.752 0.248 0.248
O: 0.248 0.248 0.752
O: 0.752 0.752 0.248

M_tot, μB/atom: 0.000
VASP energy, eV/cell: -77.8
ρ, g/cm3: 7.1
Raw formation energy, kJ/mol of atoms: -237.2

=====

The following is a PBE calculation of crystalline TlBi2SeS at its relaxed geometry, from the Alexandria database.

Cell: 5.885 4.933 5.885 Å, 90.00 90.00 90.00°
Fractional positions:
S: 0.000 0.500 0.000
Tl: 0.000 0.000 0.000
Bi: 0.000 0.000 0.500
Bi: 0.500 0.000 0.000
Se: 0.500 0.500 0.500

M_tot, μB/atom: 0.000
VASP energy, eV/cell: -13.9
ρ, g/cm3: 7.1
Raw formation energy, kJ/mol of atoms: 73.9

=====

What is the VASP energy in the second record?
-13.9 eV/cell

=====

What is the M_tot in the second record?
0.000 μB/atom